Here is a relaxed NbSnP3 crystal from Alexandria via LeMat-Bulk. Energies are from PBE.

Structure (POSCAR):
```
NbSnP3
1.0
4.8722 0.0000 0.0000
0.0000 4.8722 0.0000
0.0000 0.0000 4.8722
P Nb Sn
3 1 1
Direct
0.0000 0.5000 0.0000 P
0.0000 0.0000 0.5000 P
0.5000 0.0000 0.0000 P
0.5000 0.5000 0.5000 Nb
0.0000 0.0000 0.0000 Sn
```

## Properties
* symmetry: Pm-3m (221)
* spin magnetization: 0.0 μB per formula unit
* volume: 23.1 Å³ per atom
* formation energy from the elements: 1.476 eV/atom
* energy relative to the lowest polymorph listed for this composition: 1191 meV per atom

Here is a relaxed HfNi7P2 crystal from Alexandria via LeMat-Bulk. Energies are from PBE.

Structure (POSCAR):
```
HfNi7P2
1.0
-2.4190 2.3645 1.5474
-2.5288 -2.7204 0.2037
5.5175 -2.0410 7.2729
Hf Ni P
1 7 2
Direct
0.0000 0.0000 0.0000 Hf
0.1060 0.6060 0.2120 Ni
0.3940 0.8940 0.7880 Ni
0.6060 0.1060 0.2120 Ni
0.5000 0.5000 0.0000 Ni
0.7500 0.2500 0.5000 Ni
0.8940 0.3940 0.7880 Ni
0.2500 0.7500 0.5000 Ni
0.6773 0.6773 0.3545 P
0.3227 0.3227 0.6455 P
```

## Properties
* symmetry: I4/mmm (139)
* spin magnetization: 0.0 μB per formula unit
* volume: 12.4 Å³ per atom
* formation energy from the elements: -0.516 eV/atom

Here is a relaxed MnPtN crystal from Alexandria via LeMat-Bulk. Energies are from PBE.

Structure (POSCAR):
```
MnPtN
1.0
3.0693 0.0000 0.0000
1.5347 2.6581 0.0000
1.5347 0.8860 8.7315
Mn N Pt
2 2 2
Direct
0.2875 0.2875 0.1376 Mn
0.7125 0.7125 0.8624 Mn
0.3671 0.3671 0.8987 N
0.6329 0.6329 0.1013 N
0.8750 0.8750 0.3751 Pt
0.1250 0.1250 0.6249 Pt
```

## Properties
* formation energy without anion corrections: 0.093 eV per atom
* symmetry: R-3m (166)
* spin magnetization: 1.1 μB per formula unit
* volume: 11.9 Å³ per atom

Here is a relaxed LiB3H3 crystal from Alexandria via LeMat-Bulk. Energies are from PBE.

Structure (POSCAR):
```
LiB3H3
1.0
4.4286 -0.6556 3.3245
3.2430 4.3696 1.2181
-0.0339 2.1488 5.1455
Li B H
2 6 6
Direct
0.2500 0.2500 0.2500 Li
0.7500 0.7500 0.7500 Li
0.1551 0.8449 0.1551 B
0.8449 0.1551 0.8449 B
0.1551 0.1551 0.8449 B
0.8449 0.8449 0.1551 B
0.8449 0.1551 0.1551 B
0.1551 0.8449 0.8449 B
0.3061 0.6939 0.3061 H
0.6939 0.3061 0.6939 H
0.3061 0.3061 0.6939 H
0.6939 0.6939 0.3061 H
0.6939 0.3061 0.3061 H
0.3061 0.6939 0.6939 H
```

## Properties
* symmetry: Fm-3m (225)
* spin magnetization: 0.0 μB per formula unit
* volume: 8.8 Å³ per atom

The calculation returns the following final energy values, one per record and in order: -4.58; -6.64; -7.75; -4.77 eV/atom.